Record 1
Entry from OQMD: a relaxed structure of SrLi3CoN3 (PBE-GGA).

```
data_SrLi3CoN3
_cell_length_a 7.1779
_cell_length_b 7.1779
_cell_length_c 7.1779
_cell_angle_alpha 47.51
_cell_angle_beta 47.51
_cell_angle_gamma 47.51
_symmetry_space_group_name_H-M 'P 1'
_symmetry_Int_Tables_number 1
_symmetry_space_group_name_Hall 'P 1'
loop_
_atom_site_label
_atom_site_type_symbol
_atom_site_fract_x
_atom_site_fract_y
_atom_site_fract_z
Sr1 Sr 0.1631 0.1631 0.1631
Sr2 Sr 0.8369 0.8369 0.8369
Li1 Li 0.0204 0.2654 0.6067
Li2 Li 0.2654 0.6067 0.0204
Li3 Li 0.3933 0.9796 0.7346
Li4 Li 0.6067 0.0204 0.2654
Li5 Li 0.7346 0.3933 0.9796
Li6 Li 0.9796 0.7346 0.3933
Co1 Co 0.4328 0.4328 0.4328
Co2 Co 0.5672 0.5672 0.5672
N1 N 0.1163 0.4031 0.7092
N2 N 0.2908 0.8837 0.5969
N3 N 0.4031 0.7092 0.1163
N4 N 0.5969 0.2908 0.8837
N5 N 0.7092 0.1163 0.4031
N6 N 0.8837 0.5969 0.2908
```

Properties
Total magnetic moment = 1.6 μB per formula unit
Total DFT energy (no corrections) = -5.285 eV per atom


Record 2
Entry from OQMD: a relaxed structure of RbTeWAuSe2 (PBE-GGA).

```
data_RbTeWAuSe2
_cell_length_a 8.4054
_cell_length_b 8.4054
_cell_length_c 10.6240
_cell_angle_alpha 90.00
_cell_angle_beta 90.00
_cell_angle_gamma 152.71
_symmetry_space_group_name_H-M 'P 1'
_symmetry_Int_Tables_number 1
_symmetry_space_group_name_Hall 'P 1'
loop_
_atom_site_label
_atom_site_type_symbol
_atom_site_fract_x
_atom_site_fract_y
_atom_site_fract_z
Rb1 Rb 0.2339 0.7661 0.7500
Rb2 Rb 0.7661 0.2339 0.2500
Te1 Te 0.0723 0.9277 0.2500
Te2 Te 0.9277 0.0723 0.7500
W1 W 0.0000 0.0000 0.0000
W2 W 0.0000 0.0000 0.5000
Au1 Au 0.4465 0.5535 0.2500
Au2 Au 0.5535 0.4465 0.7500
Se1 Se 0.3941 0.6059 0.0273
Se2 Se 0.3941 0.6059 0.4727
Se3 Se 0.6059 0.3941 0.5273
Se4 Se 0.6059 0.3941 0.9727
```

Properties
Total magnetic moment = 2.0 μB per formula unit
Total DFT energy (no corrections) = -4.739 eV per atom


Record 3
Entry from OQMD: a relaxed structure of BeAlHg2 (PBE-GGA).

```
data_BeAlHg2
_cell_length_a 6.7811
_cell_length_b 6.7811
_cell_length_c 6.7811
_cell_angle_alpha 90.00
_cell_angle_beta 90.00
_cell_angle_gamma 90.00
_symmetry_space_group_name_H-M 'P 1'
_symmetry_Int_Tables_number 1
_symmetry_space_group_name_Hall 'P 1'
loop_
_atom_site_label
_atom_site_type_symbol
_atom_site_fract_x
_atom_site_fract_y
_atom_site_fract_z
Be1 Be 0.0000 0.0000 0.0000
Be2 Be 0.0000 0.5000 0.5000
Be3 Be 0.5000 0.0000 0.5000
Be4 Be 0.5000 0.5000 0.0000
Al1 Al 0.2500 0.2500 0.7500
Al2 Al 0.2500 0.7500 0.2500
Al3 Al 0.7500 0.2500 0.2500
Al4 Al 0.7500 0.7500 0.7500
Hg1 Hg 0.0000 0.0000 0.5000
Hg2 Hg 0.0000 0.5000 0.0000
Hg3 Hg 0.2500 0.2500 0.2500
Hg4 Hg 0.2500 0.7500 0.7500
Hg5 Hg 0.5000 0.0000 0.0000
Hg6 Hg 0.5000 0.5000 0.5000
Hg7 Hg 0.7500 0.2500 0.7500
Hg8 Hg 0.7500 0.7500 0.2500
```

Properties
Total DFT energy (no corrections) = -1.435 eV per atom


Record 4
Entry from OQMD: a relaxed structure of Pm2Be2O5 (PBE-GGA).

```
data_Pm2Be2O5
_cell_length_a 3.6506
_cell_length_b 3.6506
_cell_length_c 6.9144
_cell_angle_alpha 90.00
_cell_angle_beta 90.00
_cell_angle_gamma 90.00
_symmetry_space_group_name_H-M 'P 1'
_symmetry_Int_Tables_number 1
_symmetry_space_group_name_Hall 'P 1'
loop_
_atom_site_label
_atom_site_type_symbol
_atom_site_fract_x
_atom_site_fract_y
_atom_site_fract_z
Pm1 Pm 0.0000 0.0000 0.0000
Pm2 Pm 0.0000 0.0000 0.5000
Be1 Be 0.5000 0.5000 0.2281
Be2 Be 0.5000 0.5000 0.7719
O1 O 0.0000 0.5000 0.2743
O2 O 0.0000 0.5000 0.7257
O3 O 0.5000 0.0000 0.2743
O4 O 0.5000 0.0000 0.7257
O5 O 0.5000 0.5000 0.0000
```

Properties
Total magnetic moment = 0.0 μB per formula unit
Offset from the most stable computed form = 0 meV/atom
Total DFT energy (no corrections) = -7.488 eV per atom


What did the fourth record say?
Entry from OQMD: a relaxed structure of Pm2Be2O5 (PBE-GGA).

```
data_Pm2Be2O5
_cell_length_a 3.6506
_cell_length_b 3.6506
_cell_length_c 6.9144
_cell_angle_alpha 90.00
_cell_angle_beta 90.00
_cell_angle_gamma 90.00
_symmetry_space_group_name_H-M 'P 1'
_symmetry_Int_Tables_number 1
_symmetry_space_group_name_Hall 'P 1'
loop_
_atom_site_label
_atom_site_type_symbol
_atom_site_fract_x
_atom_site_fract_y
_atom_site_fract_z
Pm1 Pm 0.0000 0.0000 0.0000
Pm2 Pm 0.0000 0.0000 0.5000
Be1 Be 0.5000 0.5000 0.2281
Be2 Be 0.5000 0.5000 0.7719
O1 O 0.0000 0.5000 0.2743
O2 O 0.0000 0.5000 0.7257
O3 O 0.5000 0.0000 0.2743
O4 O 0.5000 0.0000 0.7257
O5 O 0.5000 0.5000 0.0000
```

Properties
Total magnetic moment = 0.0 μB per formula unit
Offset from the most stable computed form = 0 meV/atom
Total DFT energy (no corrections) = -7.488 eV per atom


> Among the records above, which one has the highest total DFT energy (no corrections)?

BeAlHg2


> total DFT energy (no corrections) of number 3 (BeAlHg2)?

-1.435 eV per atom